MoAsRu | PBE-GGA | optimized geometry

Structure (extended XYZ):
```
6
Lattice="4.519 -1.552 0.000 4.519 1.552 0.000 -1.382 0.000 6.692" Properties=species:S:1:pos:R:3 pbc="T T T"
Mo 0.000 0.000 0.000
Mo 3.896 0.000 4.544
As 1.374 0.000 5.053
As 3.818 0.000 2.022
Ru 1.276 0.000 2.544
Ru 6.534 0.000 0.430
```

Results
* ΔH_f (0 K): -30 meV/atom
* total DFT energy (no corrections): -49.69 eV for the cell shown
* symmetry: Cm

=====

MoAsRu2 | PBE-GGA | optimized geometry

Structure (extended XYZ):
```
4
Lattice="-1.475 2.220 4.430 1.475 -2.220 4.430 1.475 2.220 -4.430" Properties=species:S:1:pos:R:3 pbc="T T T"
Mo 0.000 0.000 0.000
As 0.000 0.000 4.430
Ru 1.475 0.000 2.445
Ru 0.000 2.220 1.985
```

Results
* ΔH_f (0 K): -23 meV/atom
* total DFT energy (no corrections): -34.12 eV for the cell shown
* symmetry: Immm

=====

MoAs2RuSe | PBE-GGA | optimized geometry

Structure (extended XYZ):
```
5
Lattice="4.615 0.000 0.000 0.000 4.615 0.000 0.000 0.000 5.307" Properties=species:S:1:pos:R:3 pbc="T T T"
Mo 0.000 0.000 0.000
As 0.000 2.308 2.654
As 2.308 0.000 2.654
Ru 2.308 2.308 2.654
Se 2.308 2.308 0.000
```

Results
* energy relative to the lowest polymorph listed for this composition: 0.000 eV per atom
* formation energy without anion corrections: 0.93 eV per atom
* total DFT energy (no corrections): -28.24 eV for the cell shown
* symmetry: P4/mmm

=====

MoAsRuSe2 | PBE-GGA | optimized geometry

Structure (extended XYZ):
```
5
Lattice="4.866 0.000 0.000 0.000 4.866 0.000 0.000 0.000 4.902" Properties=species:S:1:pos:R:3 pbc="T T T"
Mo 0.000 0.000 0.000
As 0.000 0.000 2.451
Ru 2.433 2.433 2.451
Se 0.000 2.433 0.000
Se 2.433 0.000 0.000
```

Results
* energy relative to the lowest polymorph listed for this composition: 0.000 eV per atom
* formation energy without anion corrections: 1.00 eV per atom
* total DFT energy (no corrections): -26.74 eV for the cell shown
* symmetry: P4/mmm

=====

Number 1: D(E_F) 3.77 states/eV/cell. Number 2: D(E_F) 3.39 states/eV/cell. Number 3: D(E_F) 3.48 states/eV/cell. Number 4: D(E_F) 6.46 states/eV/cell.